Entry w
BaN2O2 | PBE | relaxed

extended XYZ file:
```
5
Lattice="4.936 0.000 0.000 0.000 4.936 0.000 0.000 0.000 6.133" Properties=species:S:1:pos:R:3 pbc="T T T"
Ba 0.000 0.000 0.000
N 0.000 0.000 3.066
N 2.468 2.468 3.066
O 0.000 2.468 0.000
O 2.468 0.000 0.000
```

Results
- symmetry = No. 123
- size of the total moment (μB per formula unit) = 2.3

***

Entry x
BaN2O2 | PBE | relaxed

extended XYZ file:
```
5
Lattice="3.919 0.000 0.000 0.000 3.919 0.000 0.000 0.000 4.512" Properties=species:S:1:pos:R:3 pbc="T T T"
Ba 0.000 0.000 0.000
N 0.000 1.960 2.256
N 1.960 0.000 2.256
O 1.960 1.960 0.000
O 1.960 1.960 2.256
```

Results
- symmetry = No. 123
- size of the total moment (μB per formula unit) = 3.5

***

Unit: meV/atom. Relative energies: entry w 503; entry x 0.

***

Entry w
BaS2NO | PBE | relaxed

extended XYZ file:
```
5
Lattice="4.048 0.000 0.000 0.000 4.048 0.000 0.000 0.000 5.655" Properties=species:S:1:pos:R:3 pbc="T T T"
Ba 0.000 0.000 0.000
S 0.000 2.024 2.827
S 2.024 0.000 2.827
N 2.024 2.024 0.000
O 2.024 2.024 2.827
```

Results
- symmetry = No. 123
- size of the total moment (μB per formula unit) = 2.6

***

Entry x
BaS2NO | PBE | relaxed

extended XYZ file:
```
5
Lattice="6.271 0.000 0.000 0.000 6.271 0.000 0.000 0.000 5.435" Properties=species:S:1:pos:R:3 pbc="T T T"
Ba 0.000 0.000 0.000
S 0.000 3.135 0.000
S 3.135 0.000 0.000
N 0.000 0.000 2.717
O 3.135 3.135 2.717
```

Results
- symmetry = No. 123
- size of the total moment (μB per formula unit) = 7.0

***

Unit: meV/atom. Relative energies: entry w 0; entry x 1060.

***

Entry w
BaTa2NO | PBE | relaxed

extended XYZ file:
```
5
Lattice="5.238 0.000 0.000 0.000 5.238 0.000 0.000 0.000 4.276" Properties=species:S:1:pos:R:3 pbc="T T T"
Ba 0.000 0.000 0.000
Ta 0.000 2.619 0.000
Ta 2.619 0.000 0.000
N 0.000 0.000 2.138
O 2.619 2.619 2.138
```

Results
- symmetry = No. 123
- size of the total moment (μB per formula unit) = 0.0

***

Entry x
BaTa2NO | PBE | relaxed

extended XYZ file:
```
5
Lattice="4.032 0.000 0.000 0.000 4.032 0.000 0.000 0.000 7.231" Properties=species:S:1:pos:R:3 pbc="T T T"
Ba 0.000 0.000 0.000
Ta 0.000 2.016 3.615
Ta 2.016 0.000 3.615
N 2.016 2.016 3.615
O 2.016 2.016 0.000
```

Results
- symmetry = No. 123
- size of the total moment (μB per formula unit) = 0.3

***

Unit: meV/atom. Relative energies: entry w 3593; entry x 0.

***

Entry w
BaTe2NO | PBE | relaxed

extended XYZ file:
```
5
Lattice="4.496 0.000 0.000 0.000 4.496 0.000 0.000 0.000 6.150" Properties=species:S:1:pos:R:3 pbc="T T T"
Ba 0.000 0.000 0.000
Te 0.000 2.248 3.075
Te 2.248 0.000 3.075
N 2.248 2.248 0.000
O 2.248 2.248 3.075
```

Results
- symmetry = No. 123
- size of the total moment (μB per formula unit) = 2.0

***

Entry x
BaTe2NO | PBE | relaxed

extended XYZ file:
```
5
Lattice="6.967 0.000 0.000 0.000 6.967 0.000 0.000 0.000 5.344" Properties=species:S:1:pos:R:3 pbc="T T T"
Ba 0.000 0.000 0.000
Te 0.000 3.484 0.000
Te 3.484 0.000 0.000
N 0.000 0.000 2.672
O 3.484 3.484 2.672
```

Results
- symmetry = No. 123
- size of the total moment (μB per formula unit) = 7.0

***

Unit: meV/atom. Relative energies: entry w 0; entry x 1187.

***

Entry w
BaOsN2 | PBE | relaxed

extended XYZ file:
```
16
Lattice="3.103 -6.731 0.000 3.103 6.731 0.000 0.000 0.000 7.819" Properties=species:S:1:pos:R:3 pbc="T T T"
Ba 3.103 4.758 7.250
Ba 3.103 1.973 3.340
Ba 3.103 -1.973 4.479
Ba 3.103 -4.758 0.570
Os 3.103 5.455 2.927
Os 3.103 1.276 6.837
Os 3.103 -1.276 0.983
Os 3.103 -5.455 4.892
N 3.103 4.629 4.507
N 1.552 0.942 5.865
N 1.552 -0.942 1.955
N 3.103 2.102 0.597
N 3.103 -2.102 7.222
N 4.655 0.942 5.865
N 4.655 -0.942 1.955
N 3.103 -4.629 3.313
```

Results
- symmetry = No. 64
- size of the total moment (μB per formula unit) = 0.0

***

Entry x
BaOsN2 | PBE | relaxed

extended XYZ file:
```
12
Lattice="3.439 0.000 0.000 -1.720 2.979 0.000 0.000 0.000 19.305" Properties=species:S:1:pos:R:3 pbc="T T T"
Ba 0.000 0.000 0.000
Ba 0.000 1.986 12.870
Ba 1.720 0.993 6.435
Os 0.000 0.000 9.653
Os 0.000 1.986 3.218
Os 1.720 0.993 16.088
N 0.000 0.000 2.550
N 0.000 0.000 16.755
N 0.000 1.986 10.320
N 0.000 1.986 15.420
N 1.720 0.993 3.885
N 1.720 0.993 8.985
```

Results
- symmetry = No. 166
- size of the total moment (μB per formula unit) = 0.0

***

Unit: meV/atom. Relative energies: entry w 0; entry x 875.

***

Entry w
BaOsN2 | PBE | relaxed

extended XYZ file:
```
16
Lattice="5.194 0.000 0.000 0.000 5.194 0.000 0.000 0.000 10.625" Properties=species:S:1:pos:R:3 pbc="T T T"
Ba 0.000 0.000 0.000
Ba 0.000 2.597 2.656
Ba 2.597 0.000 7.969
Ba 2.597 2.597 5.312
Os 0.000 0.000 5.312
Os 0.000 2.597 7.969
Os 2.597 0.000 2.656
Os 2.597 2.597 0.000
N 0.483 1.299 6.641
N 1.299 3.080 9.297
N 1.299 4.712 3.984
N 2.115 1.299 1.328
N 3.080 3.896 1.328
N 3.896 0.483 3.984
N 3.896 2.115 9.297
N 4.712 3.896 6.641
```

Results
- symmetry = No. 122
- size of the total moment (μB per formula unit) = 0.0

***

Entry x
BaOsN2 | PBE | relaxed

extended XYZ file:
```
16
Lattice="6.103 0.000 0.000 0.000 6.103 0.000 0.000 0.000 6.103" Properties=species:S:1:pos:R:3 pbc="T T T"
Ba 0.000 0.000 0.000
Ba 0.000 3.052 3.052
Ba 3.052 0.000 3.052
Ba 3.052 3.052 0.000
Os 0.000 0.000 3.052
Os 0.000 3.052 0.000
Os 3.052 0.000 0.000
Os 3.052 3.052 3.052
N 1.526 1.526 1.526
N 1.526 1.526 4.577
N 1.526 4.577 1.526
N 1.526 4.577 4.577
N 4.577 1.526 1.526
N 4.577 1.526 4.577
N 4.577 4.577 1.526
N 4.577 4.577 4.577
```

Results
- symmetry = No. 225
- size of the total moment (μB per formula unit) = 0.0

***

Entry y
BaOsN2 | PBE | relaxed

extended XYZ file:
```
12
Lattice="3.967 0.000 0.000 -1.983 3.435 0.000 0.000 0.000 19.764" Properties=species:S:1:pos:R:3 pbc="T T T"
Ba 0.000 0.000 0.000
Ba 0.000 2.290 13.176
Ba 1.983 1.145 6.588
Os 0.000 0.000 9.882
Os 0.000 2.290 3.294
Os 1.983 1.145 16.470
N 0.000 0.000 8.083
N 0.000 0.000 11.681
N 0.000 2.290 1.495
N 0.000 2.290 5.093
N 1.983 1.145 14.671
N 1.983 1.145 18.269
```

Results
- symmetry = No. 166
- size of the total moment (μB per formula unit) = 0.8

***

Unit: meV/atom. Relative energies: entry w 0; entry x 1593; entry y 619.

***

Entry w
Ba2Os2N | PBE | relaxed

extended XYZ file:
```
10
Lattice="7.458 0.000 0.000 0.000 7.458 0.000 0.000 0.000 5.244" Properties=species:S:1:pos:R:3 pbc="T T T"
Ba 1.367 2.361 0.000
Ba 2.361 6.090 0.000
Ba 5.096 1.367 0.000
Ba 6.090 5.096 0.000
Os 0.788 4.516 2.622
Os 2.941 0.788 2.622
Os 4.516 6.670 2.622
Os 6.670 2.941 2.622
N 0.000 0.000 0.000
N 3.729 3.729 0.000
```

Results
- symmetry = No. 127
- size of the total moment (μB per formula unit) = 3.0

***

Entry x
Ba2Os2N | PBE | relaxed

extended XYZ file:
```
10
Lattice="3.528 0.000 0.000 0.000 3.528 0.000 0.000 0.000 18.734" Properties=species:S:1:pos:R:3 pbc="T T T"
Ba 0.000 0.000 1.584
Ba 0.000 0.000 17.151
Ba 1.764 1.764 7.783
Ba 1.764 1.764 10.951
Os 0.000 1.764 4.684
Os 0.000 1.764 14.051
Os 1.764 0.000 4.684
Os 1.764 0.000 14.051
N 0.000 0.000 9.367
N 1.764 1.764 0.000
```

Results
- symmetry = No. 139
- size of the total moment (μB per formula unit) = 0.0

***

Unit: meV/atom. Relative energies: entry w 1053; entry x 0.

***

Entry w
BaOsSN2 | PBE | relaxed

extended XYZ file:
```
5
Lattice="4.030 0.000 0.000 0.000 4.030 0.000 0.000 0.000 5.113" Properties=species:S:1:pos:R:3 pbc="T T T"
Ba 0.000 0.000 0.000
Os 2.015 2.015 2.557
S 2.015 2.015 0.000
N 0.000 2.015 2.557
N 2.015 0.000 2.557
```

Results
- symmetry = No. 123
- size of the total moment (μB per formula unit) = 0.0

***

Entry x
BaOsSN2 | PBE | relaxed

extended XYZ file:
```
5
Lattice="4.262 0.000 0.000 0.000 4.262 0.000 0.000 0.000 6.202" Properties=species:S:1:pos:R:3 pbc="T T T"
Ba 0.000 0.000 0.000
Os 2.131 2.131 3.101
S 0.000 0.000 3.101
N 0.000 2.131 0.000
N 2.131 0.000 0.000
```

Results
- symmetry = No. 123
- size of the total moment (μB per formula unit) = 4.3

***

Unit: meV/atom. Relative energies: entry w 0; entry x 2764.

***

Entry w
BaOsS2N | PBE | relaxed

extended XYZ file:
```
5
Lattice="5.057 0.000 0.000 0.000 5.057 0.000 0.000 0.000 3.803" Properties=species:S:1:pos:R:3 pbc="T T T"
Ba 0.000 0.000 0.000
Os 2.528 2.528 1.901
S 0.000 2.528 1.901
S 2.528 0.000 1.901
N 2.528 2.528 0.000
```

Results
- symmetry = No. 123
- size of the total moment (μB per formula unit) = 0.4

***

Entry x
BaOsS2N | PBE | relaxed

extended XYZ file:
```
5
Lattice="5.664 0.000 0.000 0.000 5.664 0.000 0.000 0.000 4.300" Properties=species:S:1:pos:R:3 pbc="T T T"
Ba 0.000 0.000 0.000
Os 2.832 2.832 2.150
S 0.000 2.832 0.000
S 2.832 0.000 0.000
N 0.000 0.000 2.150
```

Results
- symmetry = No. 123
- size of the total moment (μB per formula unit) = 4.2

***

Unit: meV/atom. Relative energies: entry w 0; entry x 2803.

***

Entry w
BaOsSe2N | PBE | relaxed

extended XYZ file:
```
5
Lattice="6.023 0.000 0.000 0.000 6.023 0.000 0.000 0.000 4.674" Properties=species:S:1:pos:R:3 pbc="T T T"
Ba 0.000 0.000 0.000
Os 3.012 3.012 2.337
Se 0.000 3.012 0.000
Se 3.012 0.000 0.000
N 0.000 0.000 2.337
```

Results
- symmetry = No. 123
- size of the total moment (μB per formula unit) = 6.3

***

Entry x
BaOsSe2N | PBE | relaxed

extended XYZ file:
```
5
Lattice="5.354 0.000 0.000 0.000 5.354 0.000 0.000 0.000 3.791" Properties=species:S:1:pos:R:3 pbc="T T T"
Ba 0.000 0.000 0.000
Os 2.677 2.677 1.895
Se 0.000 2.677 1.895
Se 2.677 0.000 1.895
N 2.677 2.677 0.000
```

Results
- symmetry = No. 123
- size of the total moment (μB per formula unit) = 0.0

***

Unit: meV/atom. Relative energies: entry w 2578; entry x 0.

***

Entry w
BaTe2OsN | PBE | relaxed

extended XYZ file:
```
5
Lattice="5.805 0.000 0.000 0.000 5.805 0.000 0.000 0.000 3.774" Properties=species:S:1:pos:R:3 pbc="T T T"
Ba 0.000 0.000 0.000
Te 0.000 2.902 1.887
Te 2.902 0.000 1.887
Os 2.902 2.902 1.887
N 2.902 2.902 0.000
```

Results
- symmetry = No. 123
- size of the total moment (μB per formula unit) = 0.0

***

Entry x
BaTe2OsN | PBE | relaxed

extended XYZ file:
```
5
Lattice="6.442 0.000 0.000 0.000 6.442 0.000 0.000 0.000 4.306" Properties=species:S:1:pos:R:3 pbc="T T T"
Ba 0.000 0.000 0.000
Te 0.000 3.221 0.000
Te 3.221 0.000 0.000
Os 3.221 3.221 2.153
N 0.000 0.000 2.153
```

Results
- symmetry = No. 123
- size of the total moment (μB per formula unit) = 3.9

***

Unit: meV/atom. Relative energies: entry w 0; entry x 2433.

***

Entry w
Ba6PN2 | PBE | relaxed

extended XYZ file:
```
9
Lattice="9.793 -2.127 0.000 9.793 2.127 0.000 -3.061 0.000 8.838" Properties=species:S:1:pos:R:3 pbc="T T T"
Ba -0.412 0.000 2.227
Ba 4.887 0.000 4.000
Ba 3.849 0.000 7.660
Ba 12.677 0.000 1.178
Ba 11.639 0.000 4.839
Ba 16.938 0.000 6.611
P 9.793 0.000 0.000
N 2.344 0.000 3.027
N 14.181 0.000 5.812
```

Results
- symmetry = No. 12
- size of the total moment (μB per formula unit) = 0.0

***

Entry x
Ba6PN2 | PBE | relaxed

extended XYZ file:
```
9
Lattice="7.747 -2.511 0.000 7.747 2.511 0.000 -2.421 0.000 9.813" Properties=species:S:1:pos:R:3 pbc="T T T"
Ba 1.079 0.000 2.302
Ba 0.762 0.000 8.685
Ba 4.722 0.000 3.966
Ba 8.350 0.000 5.847
Ba 12.311 0.000 1.128
Ba 11.994 0.000 7.510
P -1.210 0.000 4.906
N 3.506 0.000 1.579
N 9.566 0.000 8.233
```

Results
- symmetry = No. 12
- size of the total moment (μB per formula unit) = 0.6

***

Unit: meV/atom. Relative energies: entry w 0; entry x 70.

***

Entry w
BaPSeN2 | PBE | relaxed

extended XYZ file:
```
5
Lattice="4.326 0.000 0.000 0.000 4.326 0.000 0.000 0.000 6.883" Properties=species:S:1:pos:R:3 pbc="T T T"
Ba 0.000 0.000 0.000
P 2.163 2.163 3.442
Se 0.000 0.000 3.442
N 0.000 2.163 0.000
N 2.163 0.000 0.000
```

Results
- symmetry = No. 123
- size of the total moment (μB per formula unit) = 1.2

***

Entry x
BaPSeN2 | PBE | relaxed

extended XYZ file:
```
5
Lattice="4.216 0.000 0.000 0.000 4.216 0.000 0.000 0.000 4.870" Properties=species:S:1:pos:R:3 pbc="T T T"
Ba 0.000 0.000 0.000
P 2.108 2.108 2.435
Se 2.108 2.108 0.000
N 0.000 2.108 2.435
N 2.108 0.000 2.435
```

Results
- symmetry = No. 123
- size of the total moment (μB per formula unit) = 1.8

***

Unit: meV/atom. Relative energies: entry w 1470; entry x 0.